! PBE LaDy2Rh, optimized geometry; values from VASP
! Symmetry = No. 62
! Polymorph energy (0 for the lowest one) = 0.000 eV per atom
&SYSTEM
  ibrav = 0, nat = 16, ntyp = 3
/
ATOMIC_SPECIES
La 138.91 La.upf
Dy 162.50 Dy.upf
Rh 102.91 Rh.upf
ATOMIC_POSITIONS crystal
La 0.041 0.250 0.137
La 0.459 0.750 0.637
La 0.541 0.250 0.363
La 0.959 0.750 0.863
Dy 0.174 0.066 0.668
Dy 0.174 0.434 0.668
Dy 0.326 0.566 0.168
Dy 0.326 0.934 0.168
Dy 0.674 0.066 0.832
Dy 0.674 0.434 0.832
Dy 0.826 0.566 0.332
Dy 0.826 0.934 0.332
Rh 0.122 0.750 0.433
Rh 0.378 0.250 0.933
Rh 0.622 0.750 0.067
Rh 0.878 0.250 0.567
CELL_PARAMETERS angstrom
7.238 0.000 0.000
0.000 9.622 0.000
0.000 0.000 6.493

***

! PBE LiSmZn2Au4, optimized geometry; values from VASP
! DFT total energy = -26.5 eV per cell
! Symmetry = No. 166
&SYSTEM
  ibrav = 0, nat = 8, ntyp = 4
/
ATOMIC_SPECIES
Li 6.94 Li.upf
Sm 150.36 Sm.upf
Zn 65.41 Zn.upf
Au 196.97 Au.upf
ATOMIC_POSITIONS crystal
Li 0.000 0.000 0.000
Sm 0.500 0.500 0.500
Zn 0.258 0.258 0.258
Zn 0.742 0.742 0.742
Au 0.103 0.103 0.103
Au 0.370 0.370 0.370
Au 0.630 0.630 0.630
Au 0.897 0.897 0.897
CELL_PARAMETERS angstrom
2.262 1.306 8.367
-2.262 1.306 8.367
0.000 -2.612 8.367

***

! PBE LiCa2CdHg6, optimized geometry; values from VASP
! DFT total energy = -11.2 eV per cell
! Symmetry = No. 2
&SYSTEM
  ibrav = 0, nat = 10, ntyp = 4
/
ATOMIC_SPECIES
Li 6.94 Li.upf
Ca 40.08 Ca.upf
Cd 112.41 Cd.upf
Hg 200.59 Hg.upf
ATOMIC_POSITIONS crystal
Li 0.000 0.000 0.000
Ca 0.145 0.358 0.255
Ca 0.855 0.642 0.745
Cd 0.500 0.500 0.500
Hg 0.095 0.845 0.352
Hg 0.312 0.633 0.875
Hg 0.395 0.109 0.797
Hg 0.605 0.891 0.203
Hg 0.688 0.367 0.125
Hg 0.905 0.155 0.648
CELL_PARAMETERS angstrom
6.215 0.000 0.000
2.251 6.023 0.000
1.547 1.065 7.157

***

These records have magnetization values of 0.0, 0.0, 0.0 μB/f.u., in the order they appear.